First-principles (PBE with a Hubbard U) data for a relaxed structure of Rb2NaCrF6, as listed in the Alexandria database.

Calculated values
Electronic total energy in eV/cell: -50.7
Density in g/cm³: 3.8

Cell lengths 6.068, 6.068, 6.068 Å; angles 60.00, 60.00, 60.00 degrees
Last column: magnetic moment on the atom in μB.
Element x y z (fractional)
1 Rb 0.750 0.750 0.750  0.00
2 Rb 0.250 0.250 0.250  0.00
3 Na 0.500 0.500 0.500  0.00
4 Cr 0.000 0.000 0.000  2.94
5 F 0.772 0.228 0.772  0.00
6 F 0.228 0.228 0.772  0.00
7 F 0.772 0.772 0.228  0.00
8 F 0.772 0.228 0.228  0.00
9 F 0.228 0.772 0.228  0.00
10 F 0.228 0.772 0.772  0.00